<a>
The following is a DFT calculation (PBE) of crystalline ZrTa2Pb2 at its relaxed geometry.

a = 7.9919 Å, b = 7.9919 Å, c = 3.5139 Å
α = 90.00°, β = 90.00°, γ = 90.00°
Last column: nearest neighbours and their distance in Å.
Element x y z (fractional)
Zr: 0.0000 0.0000 0.0000  4 Ta 3.17, 8 Pb 3.44, 2 Zr 3.51
Zr: 0.5000 0.5000 0.0000  4 Ta 3.17, 8 Pb 3.44, 2 Zr 3.51
Ta: 0.1219 0.3781 0.0000  1 Ta 2.76, 6 Pb 2.90-2.97
Ta: 0.3781 0.8781 0.0000  1 Ta 2.76, 6 Pb 2.90-2.97
Ta: 0.6219 0.1219 0.0000  1 Ta 2.76, 6 Pb 2.90-2.97
Ta: 0.8781 0.6219 0.0000  1 Ta 2.76, 6 Pb 2.90-2.97
Pb: 0.1736 0.6736 0.5000  6 Ta 2.90-2.97
Pb: 0.3264 0.1736 0.5000  6 Ta 2.90-2.97
Pb: 0.6736 0.8264 0.5000  6 Ta 2.90-2.97
Pb: 0.8264 0.3264 0.5000  6 Ta 2.90-2.97

Properties
- V (Å³ per atom) = 22.443
- crystal system = tetragonal

=====

<b>
The following is a DFT calculation (PBE) of crystalline ZrTa2Pb2 at its relaxed geometry.

a = 7.7427 Å, b = 7.7427 Å, c = 7.7427 Å
α = 148.91°, β = 148.91°, γ = 44.55°
Last column: nearest neighbours and their distance in Å.
Element x y z (fractional)
Zr: 0.0000 0.0000 0.0000  8 Ta 3.20
Ta: 0.4111 0.4111 0.0000  1 Ta 2.55
Ta: 0.5889 0.5889 0.0000  1 Ta 2.55
Pb: 0.2500 0.7500 0.5000  4 Pb 2.93, 4 Ta 3.10
Pb: 0.7500 0.2500 0.5000  4 Pb 2.93, 4 Ta 3.10

Properties
- V (Å³ per atom) = 24.683
- crystal system = tetragonal

=====

Stability summary: most stable <a>, least stable <b>.

=====

<a>
The following is a DFT calculation (PBE) of crystalline Zr3TaPb at its relaxed geometry.

a = 5.2732 Å, b = 5.2732 Å, c = 5.2732 Å
α = 90.00°, β = 90.00°, γ = 90.00°
Last column: nearest neighbours and their distance in Å.
Element x y z (fractional)
Zr: 0.0000 0.0000 0.5000  2 Pb 2.64
Zr: 0.0000 0.5000 0.0000  2 Pb 2.64
Zr: 0.5000 0.0000 0.0000  2 Pb 2.64
Ta: 0.5000 0.5000 0.5000  12 Zr 3.73
Pb: 0.0000 0.0000 0.0000  6 Zr 2.64

Properties
- V (Å³ per atom) = 29.325
- crystal system = cubic

=====

<b>
The following is a DFT calculation (PBE) of crystalline Zr3TaPb at its relaxed geometry.

a = 5.1509 Å, b = 5.1509 Å, c = 5.1509 Å
α = 90.00°, β = 90.00°, γ = 90.00°
Last column: nearest neighbours and their distance in Å.
Element x y z (fractional)
Zr: 0.0000 0.0000 0.5000  2 Ta 2.58
Zr: 0.0000 0.5000 0.0000  2 Ta 2.58
Zr: 0.5000 0.0000 0.0000  2 Ta 2.58
Ta: 0.0000 0.0000 0.0000  6 Zr 2.58
Pb: 0.5000 0.5000 0.5000  12 Zr 3.64

Properties
- V (Å³ per atom) = 27.332
- crystal system = cubic

=====

Stability summary: most stable <b>, least stable <a>.

=====

<a>
The following is a DFT calculation (PBE) of crystalline ZrTa3Pb at its relaxed geometry.

a = 5.0881 Å, b = 5.0881 Å, c = 5.0881 Å
α = 90.00°, β = 90.00°, γ = 90.00°
Last column: nearest neighbours and their distance in Å.
Element x y z (fractional)
Zr: 0.0000 0.0000 0.0000  12 Ta 3.60
Ta: 0.0000 0.5000 0.5000  2 Pb 2.54
Ta: 0.5000 0.0000 0.5000  2 Pb 2.54
Ta: 0.5000 0.5000 0.0000  2 Pb 2.54
Pb: 0.5000 0.5000 0.5000  6 Ta 2.54

Properties
- V (Å³ per atom) = 26.346
- crystal system = cubic

=====

<b>
The following is a DFT calculation (PBE) of crystalline ZrTa3Pb at its relaxed geometry.

a = 4.9804 Å, b = 4.9804 Å, c = 4.9804 Å
α = 90.00°, β = 90.00°, γ = 90.00°
Last column: nearest neighbours and their distance in Å.
Element x y z (fractional)
Zr: 0.0000 0.0000 0.0000  6 Ta 2.49
Ta: 0.0000 0.0000 0.5000  2 Zr 2.49
Ta: 0.0000 0.5000 0.0000  2 Zr 2.49
Ta: 0.5000 0.0000 0.0000  2 Zr 2.49
Pb: 0.5000 0.5000 0.5000  12 Ta 3.52

Properties
- V (Å³ per atom) = 24.708
- crystal system = cubic

=====

Stability summary: most stable <b>, least stable <a>.

=====

<a>
The following is a DFT calculation (PBE) of crystalline TbPb5 at its relaxed geometry.

a = 8.3207 Å, b = 8.3207 Å, c = 4.6964 Å
α = 90.00°, β = 90.00°, γ = 146.25°
Last column: nearest neighbours and their distance in Å.
Element x y z (fractional)
Tb: 0.0000 0.0000 0.0000  12 Pb 3.37-3.56
Pb: 0.1678 0.8322 0.5000  10 Pb 3.37-3.64, 2 Tb 3.56
Pb: 0.3428 0.6572 0.0000  8 Pb 3.37-3.64, 2 Tb 3.48
Pb: 0.5000 0.5000 0.5000  4 Tb 3.37, 8 Pb 3.43-3.60
Pb: 0.6572 0.3428 0.0000  8 Pb 3.37-3.64, 2 Tb 3.48
Pb: 0.8322 0.1678 0.5000  10 Pb 3.37-3.64, 2 Tb 3.56

Properties
- V (Å³ per atom) = 30.110
- crystal system = orthorhombic

=====

<b>
The following is a DFT calculation (PBE) of crystalline TbPb5 at its relaxed geometry.

a = 6.2470 Å, b = 6.2470 Å, c = 5.7201 Å
α = 90.00°, β = 90.00°, γ = 124.75°
Last column: nearest neighbours and their distance in Å.
Element x y z (fractional)
Tb: 0.0000 0.0000 0.0000  10 Pb 3.34-3.56
Pb: 0.1557 0.8443 0.5000  2 Tb 3.34, 7 Pb 3.37-3.57
Pb: 0.3217 0.6783 0.0000  6 Pb 3.30-3.48, 3 Tb 3.51-3.56
Pb: 0.5000 0.5000 0.5000  8 Pb 3.37-3.48
Pb: 0.6783 0.3217 0.0000  6 Pb 3.30-3.48, 3 Tb 3.51-3.56
Pb: 0.8443 0.1557 0.5000  2 Tb 3.34, 7 Pb 3.37-3.57

Properties
- V (Å³ per atom) = 30.569
- crystal system = orthorhombic

=====

Stability summary: most stable <a>, least stable <b>.

=====

<a>
The following is a DFT calculation (PBE) of crystalline Tb5Pb4 at its relaxed geometry.

a = 8.2380 Å, b = 15.7038 Å, c = 8.3234 Å
α = 90.00°, β = 90.00°, γ = 90.00°
Last column: nearest neighbours and their distance in Å.
Element x y z (fractional)
Tb: 0.0350 0.0999 0.1761  6 Pb 3.17-3.49
Tb: 0.0350 0.4001 0.1761  6 Pb 3.17-3.49
Tb: 0.1237 0.6205 0.3430  6 Pb 3.12-3.29
Tb: 0.1237 0.8795 0.3430  6 Pb 3.12-3.29
Tb: 0.2094 0.2500 0.5037  6 Pb 3.14-3.30
Tb: 0.2906 0.7500 0.0037  6 Pb 3.14-3.30
Tb: 0.3763 0.1205 0.8430  6 Pb 3.12-3.29
Tb: 0.3763 0.3795 0.8430  6 Pb 3.12-3.29
Tb: 0.4650 0.5999 0.6761  6 Pb 3.17-3.49
Tb: 0.4650 0.9001 0.6761  6 Pb 3.17-3.49
Tb: 0.5350 0.0999 0.3239  6 Pb 3.17-3.49
Tb: 0.5350 0.4001 0.3239  6 Pb 3.17-3.49
Tb: 0.6237 0.6205 0.1570  6 Pb 3.12-3.29
Tb: 0.6237 0.8795 0.1570  6 Pb 3.12-3.29
Tb: 0.7094 0.2500 0.9963  6 Pb 3.14-3.30
Tb: 0.7906 0.7500 0.4963  6 Pb 3.14-3.30
Tb: 0.8763 0.1205 0.6570  6 Pb 3.12-3.29
Tb: 0.8763 0.3795 0.6570  6 Pb 3.12-3.29
Tb: 0.9650 0.5999 0.8239  6 Pb 3.17-3.49
Tb: 0.9650 0.9001 0.8239  6 Pb 3.17-3.49
Pb: 0.0714 0.2500 0.8757  8 Tb 3.15-3.45, 1 Pb 3.23
Pb: 0.1537 0.7500 0.6519  8 Tb 3.14-3.49, 1 Pb 3.23
Pb: 0.2186 0.0431 0.5341  7 Tb 3.12-3.46
Pb: 0.2186 0.4569 0.5341  7 Tb 3.12-3.46
Pb: 0.2814 0.5431 0.0341  7 Tb 3.12-3.46
Pb: 0.2814 0.9569 0.0341  7 Tb 3.12-3.46
Pb: 0.3463 0.2500 0.1519  8 Tb 3.14-3.49, 1 Pb 3.23
Pb: 0.4286 0.7500 0.3757  8 Tb 3.15-3.45, 1 Pb 3.23
Pb: 0.5714 0.2500 0.6243  8 Tb 3.15-3.45, 1 Pb 3.23
Pb: 0.6537 0.7500 0.8481  8 Tb 3.14-3.49, 1 Pb 3.23
Pb: 0.7186 0.0431 0.9659  7 Tb 3.12-3.46
Pb: 0.7186 0.4569 0.9659  7 Tb 3.12-3.46
Pb: 0.7814 0.5431 0.4659  7 Tb 3.12-3.46
Pb: 0.7814 0.9569 0.4659  7 Tb 3.12-3.46
Pb: 0.8463 0.2500 0.3481  8 Tb 3.14-3.49, 1 Pb 3.23
Pb: 0.9286 0.7500 0.1243  8 Tb 3.15-3.45, 1 Pb 3.23

Properties
- V (Å³ per atom) = 29.911
- crystal system = orthorhombic

=====

<b>
The following is a DFT calculation (PBE) of crystalline Tb5Pb4 at its relaxed geometry.

a = 7.4972 Å, b = 7.4972 Å, c = 7.4972 Å
α = 100.03°, β = 100.03°, γ = 130.66°
Last column: nearest neighbours and their distance in Å.
Element x y z (fractional)
Tb: 0.0000 0.0000 0.0000  4 Pb 3.12
Tb: 0.2350 0.3988 0.6338  5 Pb 3.15-3.17
Tb: 0.3988 0.7650 0.1638  5 Pb 3.15-3.17
Tb: 0.6012 0.2350 0.8362  5 Pb 3.15-3.17
Tb: 0.7650 0.6012 0.3662  5 Pb 3.15-3.17
Pb: 0.0811 0.6869 0.7679  6 Tb 3.12-3.17
Pb: 0.3131 0.0811 0.3942  6 Tb 3.12-3.17
Pb: 0.6869 0.9189 0.6058  6 Tb 3.12-3.17
Pb: 0.9189 0.3131 0.2321  6 Tb 3.12-3.17

Properties
- V (Å³ per atom) = 32.276
- crystal system = tetragonal

=====

Stability summary: most stable <a>, least stable <b>.

=====

<a>
The following is a DFT calculation (PBE) of crystalline Tb2TePb at its relaxed geometry.

a = 7.6685 Å, b = 7.6685 Å, c = 7.6685 Å
α = 131.88°, β = 131.88°, γ = 70.42°
Last column: nearest neighbours and their distance in Å.
Element x y z (fractional)
Tb: 0.1232 0.3732 0.7500  3 Pb 3.11-3.13, 3 Te 3.13-3.16
Tb: 0.3732 0.1232 0.2500  3 Pb 3.11-3.13, 3 Te 3.13-3.16
Tb: 0.6268 0.8768 0.7500  3 Pb 3.11-3.13, 3 Te 3.13-3.16
Tb: 0.8768 0.6268 0.2500  3 Pb 3.11-3.13, 3 Te 3.13-3.16
Te: 0.3750 0.6250 0.7500  6 Tb 3.13-3.16
Te: 0.6250 0.3750 0.2500  6 Tb 3.13-3.16
Pb: 0.1250 0.8750 0.2500  6 Tb 3.11-3.13
Pb: 0.8750 0.1250 0.7500  6 Tb 3.11-3.13

Properties
- V (Å³ per atom) = 30.619
- crystal system = tetragonal

=====

<b>
The following is a DFT calculation (PBE) of crystalline Tb2TePb at its relaxed geometry.

a = 7.6857 Å, b = 7.6857 Å, c = 7.6857 Å
α = 33.53°, β = 33.53°, γ = 33.53°
Last column: nearest neighbours and their distance in Å.
Element x y z (fractional)
Tb: 0.2469 0.2469 0.2469  3 Pb 3.10, 3 Te 3.18
Tb: 0.7531 0.7531 0.7531  3 Pb 3.10, 3 Te 3.18
Te: 0.0000 0.0000 0.0000  6 Tb 3.18
Pb: 0.5000 0.5000 0.5000  6 Tb 3.10

Properties
- V (Å³ per atom) = 30.840
- crystal system = trigonal

=====

<c>
The following is a DFT calculation (PBE) of crystalline Tb2TePb at its relaxed geometry.

a = 3.7041 Å, b = 3.7041 Å, c = 8.1829 Å
α = 90.00°, β = 90.00°, γ = 90.00°
Last column: nearest neighbours and their distance in Å.
Element x y z (fractional)
Tb: 0.0000 0.0000 0.2368  4 Te 3.26, 4 Pb 3.39
Tb: 0.0000 0.0000 0.7632  4 Te 3.26, 4 Pb 3.39
Te: 0.5000 0.5000 0.0000  8 Tb 3.26
Pb: 0.5000 0.5000 0.5000  8 Tb 3.39, 4 Pb 3.70

Properties
- V (Å³ per atom) = 28.068
- crystal system = tetragonal

=====

Stability summary: most stable <a>, least stable <c>.